The following is a DFT calculation (GGA+U) of a geometry-optimized CsMnOsO6 structure.

abc: 5.200 5.200 6.682
angles: 89.95 90.05 60.02
Sites, in units of the cell vectors:
Cs 0.000 0.000 0.000
O 0.400 0.006 0.663
O 0.594 0.007 0.337
O 0.595 0.399 0.663
O 0.007 0.594 0.663
O 0.006 0.400 0.337
O 0.399 0.595 0.337
Mn 0.667 0.667 0.500
Os 0.333 0.333 0.500

Energy, eV/f.u.: -60.54
Space group: C2 (5)